Entry from Alexandria: a relaxed structure of ZnGaIrO6 (PBE).

Output
total moment = 0.000 μB/f.u.
formation energy (no corrections) = -8.8 eV/f.u.
final energy = -5.74 eV per atom

abc: 5.1079 5.1079 8.8086
angles: 90.00 90.00 120.00
Space group P-31c (No. 163)
Symmetry-distinct sites (fractional):
Zn: 0.0000 0.0000 0.0000 x2
Ga: 0.3333 0.6667 0.2500 x2
Ir: 0.3333 0.6667 0.7500 x2
O: 0.0094 0.3583 0.6308 x12